1.
SiOsRu2 at its PBEsol-relaxed geometry, computed with meta-GGA SCAN.

Properties
* total DFT energy (no corrections): -152.70 eV/cell
* crystal system: tetragonal
* raw formation energy: -28 kJ per mole of atoms

```
4
Lattice="2.786 0.000 0.000 0.000 2.786 0.000 0.000 0.000 6.664" Properties=species:S:1:pos:R:3 pbc="T T T"
Ru 0.000 0.000 5.191
Ru 0.000 0.000 1.473
Si 1.393 1.393 0.000
Os 1.393 1.393 3.332
```


2.
SiOsRu3 at its PBEsol-relaxed geometry, computed with meta-GGA SCAN.

Properties
* total DFT energy (no corrections): -180.47 eV/cell
* crystal system: cubic
* raw formation energy: 114 kJ per mole of atoms

```
5
Lattice="4.233 0.000 0.000 0.000 4.233 0.000 0.000 0.000 4.233" Properties=species:S:1:pos:R:3 pbc="T T T"
Ru 0.000 2.117 0.000
Ru 0.000 0.000 2.117
Ru 2.117 0.000 0.000
Si 0.000 0.000 0.000
Os 2.117 2.117 2.117
```


3.
SiOs2Ru at its PBEsol-relaxed geometry, computed with meta-GGA SCAN.

Properties
* total DFT energy (no corrections): -188.07 eV/cell
* crystal system: orthorhombic
* raw formation energy: 13 kJ per mole of atoms

```
4
Lattice="-1.229 -2.109 1.212 3.832 -0.949 2.236 -2.374 2.871 2.589" Properties=species:S:1:pos:R:3 pbc="T T T"
Os 1.916 -0.475 1.118
Os -1.187 1.436 1.294
Ru -0.615 -1.055 0.606
Si 0.114 -0.094 3.018
```